ScHgBN2 | PBE | optimized geometry

a b c (Å): 4.004 6.047 4.004
angles (deg): 90.00 90.00 90.00
Element x y z (fractional)
N (0.000, 0.000, 0.500)
N (0.500, 0.000, 0.000)
Hg (0.000, 0.500, 0.000)
B (0.500, 0.500, 0.500)
Sc (0.000, 0.000, 0.000)

## Properties
Calculated volume in Å³/atom: 19.39
E_form (uncorrected) in eV per atom: 1.510
Mass density in g/cm³: 4.870